# LiTaTl2Cl GGA-PBE relaxed
# * formation energy (no corrections): 587.1 meV per atom
# * crystal system: tetragonal
# * spin magnetization: 1.695 μB/f.u.
data_LiTaTl2Cl
_cell_length_a 5.5624
_cell_length_b 5.5624
_cell_length_c 3.8834
_cell_angle_alpha 90.00
_cell_angle_beta 90.00
_cell_angle_gamma 90.00
_space_group_name_H-M_alt 'P 4/m m m'
_space_group_IT_number 123
_space_group_name_Hall '-P 4 2'
loop_
_atom_site_label
_atom_site_fract_x
_atom_site_fract_y
_atom_site_fract_z
_atom_site_occupancy
Li1 0.0000 0.0000 0.0000 1
Ta1 0.5000 0.5000 0.5000 1
Tl1 0.0000 0.5000 0.0000 1
Cl1 0.0000 0.0000 0.5000 1

---

# Li2TaTlCl8 GGA-PBE relaxed
# * formation energy (no corrections): -1387.3 meV per atom
# * crystal system: triclinic
# * spin magnetization: 0.000 μB/f.u.
data_Li2TaTlCl8
_cell_length_a 6.2506
_cell_length_b 6.3197
_cell_length_c 9.0593
_cell_angle_alpha 89.92
_cell_angle_beta 89.92
_cell_angle_gamma 78.23
_space_group_name_H-M_alt 'P -1'
_space_group_IT_number 2
loop_
_space_group_symop_operation_xyz
'x,y,z'
'-x,-y,-z'
loop_
_atom_site_label
_atom_site_fract_x
_atom_site_fract_y
_atom_site_fract_z
_atom_site_occupancy
Li1 0.9998 0.9999 0.1656 1
Ta1 0.5000 0.5000 0.5000 1
Tl1 0.5000 0.5000 0.0000 1
Cl1 0.1808 0.1770 0.9998 1
Cl2 0.2747 0.2483 0.4999 1
Cl3 0.2768 0.7018 0.6874 1
Cl4 0.2777 0.7026 0.3125 1

---

# LiTaTlCl6 GGA-PBE relaxed
# * formation energy (no corrections): -1324.6 meV per atom
# * crystal system: trigonal
# * spin magnetization: 1.001 μB/f.u.
data_LiTaTlCl6
_cell_length_a 6.5905
_cell_length_b 6.5905
_cell_length_c 14.0638
_cell_angle_alpha 90.00
_cell_angle_beta 90.00
_cell_angle_gamma 120.00
_space_group_name_H-M_alt 'P -3 1 c'
_space_group_IT_number 163
_space_group_name_Hall '-P 3 2c'
loop_
_atom_site_label
_atom_site_fract_x
_atom_site_fract_y
_atom_site_fract_z
_atom_site_occupancy
Li1 0.3333 0.6667 0.2500 1
Ta1 0.3333 0.6667 0.7500 1
Tl1 0.0000 0.0000 0.0000 1
Cl1 0.0192 0.3822 0.6503 1

---

# LiTaW2Cl GGA-PBE relaxed
# * formation energy (no corrections): 1995.0 meV per atom
# * crystal system: tetragonal
# * spin magnetization: 1.625 μB/f.u.
data_LiTaW2Cl
_cell_length_a 4.7832
_cell_length_b 4.7832
_cell_length_c 5.8544
_cell_angle_alpha 90.00
_cell_angle_beta 90.00
_cell_angle_gamma 90.00
_space_group_name_H-M_alt 'P 4/m m m'
_space_group_IT_number 123
_space_group_name_Hall '-P 4 2'
loop_
_atom_site_label
_atom_site_fract_x
_atom_site_fract_y
_atom_site_fract_z
_atom_site_occupancy
Li1 0.0000 0.0000 0.0000 1
Ta1 0.0000 0.0000 0.5000 1
W1 0.0000 0.5000 0.5000 1
Cl1 0.5000 0.5000 0.0000 1

---

# LiTaZnCl2 GGA-PBE relaxed
# * formation energy (no corrections): 664.2 meV per atom
# * crystal system: tetragonal
# * spin magnetization: 3.152 μB/f.u.
data_LiTaZnCl2
_cell_length_a 5.0011
_cell_length_b 5.0011
_cell_length_c 5.2782
_cell_angle_alpha 90.00
_cell_angle_beta 90.00
_cell_angle_gamma 90.00
_space_group_name_H-M_alt 'P 4/m m m'
_space_group_IT_number 123
_space_group_name_Hall '-P 4 2'
loop_
_atom_site_label
_atom_site_fract_x
_atom_site_fract_y
_atom_site_fract_z
_atom_site_occupancy
Li1 0.0000 0.0000 0.0000 1
Ta1 0.5000 0.5000 0.0000 1
Zn1 0.5000 0.5000 0.5000 1
Cl1 0.0000 0.5000 0.5000 1

---

# Li2ZrTaCl GGA-PBE relaxed
# * formation energy (no corrections): 1034.7 meV per atom
# * crystal system: tetragonal
# * spin magnetization: 1.867 μB/f.u.
data_Li2ZrTaCl
_cell_length_a 5.2671
_cell_length_b 5.2671
_cell_length_c 4.9912
_cell_angle_alpha 90.00
_cell_angle_beta 90.00
_cell_angle_gamma 90.00
_space_group_name_H-M_alt 'P 4/m m m'
_space_group_IT_number 123
_space_group_name_Hall '-P 4 2'
loop_
_atom_site_label
_atom_site_fract_x
_atom_site_fract_y
_atom_site_fract_z
_atom_site_occupancy
Li1 0.0000 0.5000 0.0000 1
Zr1 0.0000 0.0000 0.5000 1
Ta1 0.0000 0.0000 0.0000 1
Cl1 0.5000 0.5000 0.5000 1

---

# Li2Tb2Cl7 GGA-PBE relaxed
# * formation energy (no corrections): -1917.8 meV per atom
# * crystal system: monoclinic
# * spin magnetization: 1.004 μB/f.u.
data_Li2Tb2Cl7
_cell_length_a 7.9988
_cell_length_b 10.8113
_cell_length_c 7.4322
_cell_angle_alpha 90.00
_cell_angle_beta 97.19
_cell_angle_gamma 90.00
_space_group_name_H-M_alt 'C 1 2/m 1'
_space_group_IT_number 12
loop_
_space_group_symop_operation_xyz
'x,y,z'
'-x,-y,-z'
'-x,y,-z'
'x,-y,z'
'x+1/2,y+1/2,z'
'-x+1/2,-y+1/2,-z'
'-x+1/2,y+1/2,-z'
'x+1/2,-y+1/2,z'
loop_
_atom_site_label
_atom_site_fract_x
_atom_site_fract_y
_atom_site_fract_z
_atom_site_occupancy
Li1 0.2478 0.0000 0.3998 1
Tb1 0.0000 0.3356 0.0000 1
Cl1 0.0000 0.0000 0.5000 1
Cl2 0.0849 0.5000 0.2731 1
Cl3 0.2302 0.1821 0.1934 1

---

# LiTbCl4 GGA-PBE relaxed
# * formation energy (no corrections): -2096.2 meV per atom
# * crystal system: monoclinic
# * spin magnetization: 0.000 μB/f.u.
# * offset from the most stable computed form: 0 meV per atom
data_LiTbCl4
_cell_length_a 6.5966
_cell_length_b 3.9663
_cell_length_c 6.7257
_cell_angle_alpha 90.00
_cell_angle_beta 96.00
_cell_angle_gamma 90.00
_space_group_name_H-M_alt 'P 1 2/m 1'
_space_group_IT_number 10
loop_
_space_group_symop_operation_xyz
'x,y,z'
'-x,-y,-z'
'-x,y,-z'
'x,-y,z'
loop_
_atom_site_label
_atom_site_fract_x
_atom_site_fract_y
_atom_site_fract_z
_atom_site_occupancy
Li1 0.0000 0.0000 0.0000 1
Tb1 0.0000 0.5000 0.5000 1
Cl1 0.2005 0.5000 0.1843 1
Cl2 0.2278 0.0000 0.6788 1

---

# LiTbCl3 GGA-PBE relaxed
# * formation energy (no corrections): -1807.8 meV per atom
# * crystal system: trigonal
# * spin magnetization: 1.018 μB/f.u.
data_LiTbCl3
_cell_length_a 6.4233
_cell_length_b 6.4233
_cell_length_c 19.5910
_cell_angle_alpha 90.00
_cell_angle_beta 90.00
_cell_angle_gamma 120.00
_space_group_name_H-M_alt 'R -3'
_space_group_IT_number 148
_space_group_name_Hall '-R 3'
loop_
_atom_site_label
_atom_site_fract_x
_atom_site_fract_y
_atom_site_fract_z
_atom_site_occupancy
Li1 0.0000 0.0000 0.1562 1
Tb1 0.0000 0.0000 0.3385 1
Cl1 0.0084 0.3505 0.4222 1

---

# LiTbCl4 GGA-PBE relaxed
# * formation energy (no corrections): -2088.1 meV per atom
# * crystal system: monoclinic
# * spin magnetization: 0.000 μB/f.u.
# * offset from the most stable computed form: 8 meV per atom
data_LiTbCl4
_cell_length_a 8.2803
_cell_length_b 16.8414
_cell_length_c 6.3544
_cell_angle_alpha 90.00
_cell_angle_beta 129.37
_cell_angle_gamma 90.00
_space_group_name_H-M_alt 'C 1 2/c 1'
_space_group_IT_number 15
loop_
_space_group_symop_operation_xyz
'x,y,z'
'-x,-y,-z'
'-x,y,-z+1/2'
'x,-y,z+1/2'
'x+1/2,y+1/2,z'
'-x+1/2,-y+1/2,-z'
'-x+1/2,y+1/2,-z+1/2'
'x+1/2,-y+1/2,z+1/2'
loop_
_atom_site_label
_atom_site_fract_x
_atom_site_fract_y
_atom_site_fract_z
_atom_site_occupancy
Li1 0.0000 0.1322 0.2500 1
Tb1 0.0000 0.3308 0.7500 1
Cl1 0.2046 0.2033 0.7190 1
Cl2 0.2271 0.4255 0.7212 1

---

# LiTb3Te2Cl6 GGA-PBE relaxed
# * formation energy (no corrections): -1875.7 meV per atom
# * crystal system: monoclinic
# * spin magnetization: 0.000 μB/f.u.
data_LiTb3Te2Cl6
_cell_length_a 13.8754
_cell_length_b 8.2241
_cell_length_c 6.5237
_cell_angle_alpha 90.00
_cell_angle_beta 96.29
_cell_angle_gamma 90.00
_space_group_name_H-M_alt 'C 1 2/m 1'
_space_group_IT_number 12
loop_
_space_group_symop_operation_xyz
'x,y,z'
'-x,-y,-z'
'-x,y,-z'
'x,-y,z'
'x+1/2,y+1/2,z'
'-x+1/2,-y+1/2,-z'
'-x+1/2,y+1/2,-z'
'x+1/2,-y+1/2,z'
loop_
_atom_site_label
_atom_site_fract_x
_atom_site_fract_y
_atom_site_fract_z
_atom_site_occupancy
Li1 0.0000 0.0000 0.0000 1
Tb1 0.0000 0.5000 0.5000 1
Tb2 0.2500 0.2500 0.0000 1
Te1 0.1842 0.5000 0.2914 1
Cl1 0.0755 0.2621 0.7618 1
Cl2 0.1633 0.0000 0.1831 1

---

# LiTb2TlCl8 GGA-PBE relaxed
# * formation energy (no corrections): -1958.8 meV per atom
# * crystal system: monoclinic
# * spin magnetization: 0.000 μB/f.u.
data_LiTb2TlCl8
_cell_length_a 6.6473
_cell_length_b 8.3221
_cell_length_c 6.8425
_cell_angle_alpha 90.00
_cell_angle_beta 97.19
_cell_angle_gamma 90.00
_space_group_name_H-M_alt 'P 1 2/m 1'
_space_group_IT_number 10
loop_
_space_group_symop_operation_xyz
'x,y,z'
'-x,-y,-z'
'-x,y,-z'
'x,-y,z'
loop_
_atom_site_label
_atom_site_fract_x
_atom_site_fract_y
_atom_site_fract_z
_atom_site_occupancy
Li1 0.0000 0.0000 0.0000 1
Tb1 0.5000 0.2413 0.5000 1
Tl1 0.0000 0.5000 0.0000 1
Cl1 0.2301 0.2108 0.1882 1
Cl2 0.2992 0.0000 0.6561 1
Cl3 0.3089 0.5000 0.6427 1